1.
ZrScAu (PBE-GGA, relaxed); total magnetization = 0.0 μB per formula unit; excess energy over the best structure of this formula in the dataset = 0.0032 eV/atom; calculated formation energy = -136.0 kJ/mol of formula units
1.0
6.576 0.000 0.000
0.000 4.694 0.000
0.000 0.000 8.408
Zr Sc Au
4 4 4
Cartesian
1.117 1.174 0.642
2.171 3.521 4.846
4.405 1.174 3.561
5.459 3.521 7.765
0.109 1.174 5.845
3.180 3.521 1.641
3.397 1.174 6.766
6.468 3.521 2.563
1.593 1.174 3.368
1.695 3.521 7.572
4.881 1.174 0.836
4.984 3.521 5.040

2.
ZrSc4Au5 (PBE-GGA, relaxed); total magnetization = 0.3 μB per formula unit; calculated formation energy = -711.6 kJ/mol of formula units
1.0
3.375 0.000 0.000
0.000 3.375 0.000
0.000 0.000 17.387
Zr Sc Au
1 4 5
Cartesian
0.000 0.000 0.000
0.000 0.000 3.526
0.000 0.000 6.968
0.000 0.000 10.419
0.000 0.000 13.861
1.687 1.687 1.851
1.687 1.687 5.247
1.687 1.687 8.694
1.687 1.687 12.141
1.687 1.687 15.536

3.
ZrScAu (PBE-GGA, relaxed); total magnetization = 0.0 μB per formula unit; excess energy over the best structure of this formula in the dataset = 0.0709 eV/atom; calculated formation energy = -116.4 kJ/mol of formula units
1.0
5.036 0.000 0.000
0.000 3.329 0.000
-1.807 0.000 7.426
Zr Sc Au
2 2 2
Cartesian
0.000 0.000 0.000
0.114 1.664 2.488
0.715 1.664 7.349
2.970 1.664 4.736
0.546 0.000 5.023
2.576 0.000 2.248